VASP calculation (GGA-PBE) on crystalline Ac2GeSe5 at its relaxed geometry.

```
32
Lattice="8.9815 0.0000 -2.5610 0.0000 9.3086 0.0000 -0.6433 0.0000 12.5083" Properties=species:S:1:pos:R:3 pbc="T T T"
Se 1.0103 0.8814 8.4240
Se 4.4303 3.5998 0.0742
Se -0.0604 1.0545 1.3547
Ge 4.5484 3.8372 2.4674
Ac 3.6087 1.2641 6.7025
Se 8.2550 2.8041 2.2272
Se -0.1077 3.5463 10.9857
Ac 2.0787 5.8352 -0.2408
Se 3.9079 5.7088 9.8731
Ge 8.2805 8.4915 6.1994
Se 3.9552 8.2006 0.2421
Se 7.3279 8.4272 1.5232
Se 4.3830 1.1081 9.7052
Ac 0.2387 5.9184 4.5253
Se 0.0832 6.5045 7.7200
Se 6.4679 0.5305 5.2964
Se 2.8372 5.5358 2.8037
Se 5.5010 3.7729 7.1435
Se 3.7643 1.8502 3.5077
Se 6.3610 5.1848 3.3703
Ac 6.2595 3.4734 10.1880
Se 8.4459 5.7624 -1.0384
Se 4.5739 7.4584 6.4395
Ac 4.7295 8.0446 3.2448
Se 8.3986 8.2541 8.5926
Ac 1.7688 1.1809 11.4685
Se 1.9772 4.1238 6.5769
Ge 3.7898 5.4715 7.4799
Ge 0.0577 0.8171 3.7479
Se 1.8703 8.7781 4.6508
Ac 6.5694 8.1278 -1.5213
Ac 8.0995 3.3903 5.4220
```

**Space group**: P2_1/c, No. 14
**Density**: 5940 kg/m³
**Excess energy over the best structure of this formula in the dataset**: 0 meV/atom
**Magnetization**: 0.00 Bohr magnetons per cell
**Final energy**: -5.145 eV per atom
**Formation energy from raw total energies**: -1.36 eV per atom